Record 1
SiTeW2: optimized geometry, PBEsol.

Raw formation energy   2.85 eV per formula unit
Distance to the lowest polymorph of the same formula   353 meV/atom
Volume   16.98 Å³ per atom

a b c (Å): 3.321 4.741 8.629
angles (deg): 90.00 90.00 90.00
Space group Cmmm (No. 65)
Inequivalent atoms, fractional coordinates:
Si  0.000  0.000  0.000 x2
Te  0.000  0.000  0.500 x2
W  0.000  0.500  0.213 x4

---

Record 2
TiMnInIr2: optimized geometry, PBEsol.

Formation enthalpy at 0 K   3.2 eV/f.u.
Volume   17.29 Å³ per atom

a b c (Å): 4.501 4.501 4.267
angles (deg): 90.00 90.00 90.00
Space group P4/mmm (No. 123)
Inequivalent atoms, fractional coordinates:
Ti  0.000  0.000  0.000 x1
Mn  0.000  0.000  0.500 x1
In  0.500  0.500  0.000 x1
Ir  0.000  0.500  0.500 x2

---

Record 3
Sr2BiSb: optimized geometry, PBEsol.

Raw formation energy   -2.61 eV per formula unit
Volume   34.78 Å³ per atom

a b c (Å): 8.875 8.875 7.065
angles (deg): 90.00 90.00 90.00
Space group I-42d (No. 122)
Inequivalent atoms, fractional coordinates:
Sr  0.242  0.750  0.125 x8
Bi  0.000  0.000  0.500 x4
Sb  0.000  0.000  0.000 x4

---

Record 4
Cd2AsPt: optimized geometry, PBEsol.

Formation enthalpy at 0 K   -0.1 eV/f.u.
Volume   17.97 Å³ per atom

a b c (Å): 4.109 4.109 8.512
angles (deg): 90.00 90.00 90.00
Space group I-4m2 (No. 119)
Inequivalent atoms, fractional coordinates:
Cd  0.000  0.000  0.000 x2
Cd  0.000  0.500  0.250 x2
As  0.000  0.500  0.750 x2
Pt  0.000  0.000  0.500 x2

---

Record 5
CrCo2Rh: optimized geometry, PBEsol.

Formation enthalpy at 0 K   0.8 eV/f.u.
Volume   11.57 Å³ per atom

a b c (Å): 2.756 4.092 8.207
angles (deg): 90.00 90.00 90.00
Space group Immm (No. 71)
Inequivalent atoms, fractional coordinates:
Cr  0.000  0.000  0.000 x2
Co  0.000  0.500  0.269 x4
Rh  0.000  0.000  0.500 x2

---

Record 6
K2InBr: optimized geometry, PBEsol.

Raw formation energy   -2.34 eV per formula unit
Distance to the lowest polymorph of the same formula   0 meV/atom
Volume   34.03 Å³ per atom

a b c (Å): 7.495 9.555 3.802
angles (deg): 90.00 90.00 90.00
Space group Cmmm (No. 65)
Inequivalent atoms, fractional coordinates:
K  0.250  0.250  0.000 x4
In  0.000  0.000  0.500 x2
Br  0.000  0.500  0.500 x2

---

no.,VASP energy (eV per atom)
1,-8.510
2,-7.511
3,-3.785
4,-3.632
5,-8.253
6,-2.366